The following is a DFT calculation (PBE) of Cu4Ag after structural relaxation.

Cell lengths 2.6853, 3.5044, 13.9215 Å; angles 90.00, 90.00, 90.00 degrees
Fractional coordinates of all 10 atoms:
Ag: 0.0000 0.0000 0.0672
Ag: 0.5000 0.5000 0.9328
Cu: 0.5000 0.5000 0.1798
Cu: 0.0000 0.0000 0.2698
Cu: 0.5000 0.5000 0.3624
Cu: 0.0000 0.0000 0.4539
Cu: 0.5000 0.5000 0.5461
Cu: 0.0000 0.0000 0.6376
Cu: 0.5000 0.5000 0.7302
Cu: 0.0000 0.0000 0.8202

Output
The excess energy over the best structure of this formula in the dataset is 0.01 eV/f.u. As for the energy: -3.4920 eV/atom. Its space group is No. 59. The formation energy is 22 kJ/mol of formula units.